Here is an optimized crystal structure of LiNiAsPd from Alexandria via LeMat-Bulk. Energies are from PBE.

Summary:
- symmetry = No. 216
- DOS at the Fermi energy (states/eV per atom) = 0.87
- ΔE_f (eV per atom) = -0.376

```
data_LiNiAsPd
_symmetry_space_group_name_H-M 'P 1'
_symmetry_Int_Tables_number 1
_cell_length_a 4.209
_cell_length_b 4.209
_cell_length_c 4.209
_cell_angle_alpha 60.00
_cell_angle_beta 60.00
_cell_angle_gamma 60.00
loop_
_symmetry_equiv_pos_as_xyz
'x,y,z'
loop_
_atom_site_label
_atom_site_fract_x
_atom_site_fract_y
_atom_site_fract_z
Ni1 0.750 0.750 0.750
As1 0.500 0.500 0.500
Pd1 0.250 0.250 0.250
Li1 0.000 0.000 0.000
```



Here is an optimized crystal structure of In2Ag5Pd from Alexandria via LeMat-Bulk. Energies are from PBE.

Summary:
- symmetry = No. 55
- DOS at the Fermi energy (states/eV per atom) = 0.37
- ΔE_f (eV per atom) = -0.116

```
data_In2Ag5Pd
_symmetry_space_group_name_H-M 'P 1'
_symmetry_Int_Tables_number 1
_cell_length_a 4.208
_cell_length_b 5.929
_cell_length_c 11.847
_cell_angle_alpha 90.00
_cell_angle_beta 90.00
_cell_angle_gamma 90.00
loop_
_symmetry_equiv_pos_as_xyz
'x,y,z'
loop_
_atom_site_label
_atom_site_fract_x
_atom_site_fract_y
_atom_site_fract_z
In1 0.500 0.221 0.616
In2 0.500 0.779 0.384
In3 0.500 0.279 0.116
In4 0.500 0.721 0.884
Ag1 0.000 0.000 0.000
Ag2 0.000 0.500 0.500
Ag3 0.000 0.471 0.750
Ag4 0.000 0.529 0.250
Ag5 0.000 0.029 0.250
Ag6 0.000 0.971 0.750
Ag7 0.500 0.228 0.870
Ag8 0.500 0.772 0.130
Ag9 0.500 0.272 0.370
Ag10 0.500 0.728 0.630
Pd1 0.000 0.000 0.500
Pd2 0.000 0.500 0.000
```



Here is an optimized crystal structure of Y2BeTl2 from Alexandria via LeMat-Bulk. Energies are from PBE.

Summary:
- symmetry = No. 127
- DOS at the Fermi energy (states/eV per atom) = 0.36
- ΔE_f (eV per atom) = -0.076

```
data_Y2BeTl2
_symmetry_space_group_name_H-M 'P 1'
_symmetry_Int_Tables_number 1
_cell_length_a 7.135
_cell_length_b 7.135
_cell_length_c 4.857
_cell_angle_alpha 90.00
_cell_angle_beta 90.00
_cell_angle_gamma 90.00
loop_
_symmetry_equiv_pos_as_xyz
'x,y,z'
loop_
_atom_site_label
_atom_site_fract_x
_atom_site_fract_y
_atom_site_fract_z
Y1 0.168 0.668 0.500
Y2 0.668 0.832 0.500
Y3 0.832 0.332 0.500
Y4 0.332 0.168 0.500
Be1 0.000 0.000 0.000
Be2 0.500 0.500 0.000
Tl1 0.351 0.851 0.000
Tl2 0.851 0.649 0.000
Tl3 0.649 0.149 0.000
Tl4 0.149 0.351 0.000
```



Here is an optimized crystal structure of Mg3TlIn4 from Alexandria via LeMat-Bulk. Energies are from PBE.

Summary:
- symmetry = No. 51
- polymorph energy (0 for the lowest one) (meV per atom) = 0
- DOS at the Fermi energy (states/eV per atom) = 0.39
- ΔE_f (eV per atom) = -0.036

```
data_Mg3TlIn4
_symmetry_space_group_name_H-M 'P 1'
_symmetry_Int_Tables_number 1
_cell_length_a 5.640
_cell_length_b 6.584
_cell_length_c 10.739
_cell_angle_alpha 90.00
_cell_angle_beta 90.00
_cell_angle_gamma 90.00
loop_
_symmetry_equiv_pos_as_xyz
'x,y,z'
loop_
_atom_site_label
_atom_site_fract_x
_atom_site_fract_y
_atom_site_fract_z
Mg1 0.000 0.000 0.000
Mg2 0.000 0.000 0.500
Mg3 0.657 0.000 0.750
Mg4 0.343 0.000 0.250
Mg5 0.644 0.500 0.750
Mg6 0.356 0.500 0.250
Tl1 0.000 0.500 0.000
Tl2 0.000 0.500 0.500
In1 0.500 0.757 0.000
In2 0.500 0.757 0.500
In3 0.500 0.243 0.000
In4 0.500 0.243 0.500
In5 0.152 0.759 0.750
In6 0.848 0.759 0.250
In7 0.848 0.241 0.250
In8 0.152 0.241 0.750
```



Here is an optimized crystal structure of TaNb6Cu from Alexandria via LeMat-Bulk. Energies are from PBE.

Summary:
- symmetry = No. 38
- DOS at the Fermi energy (states/eV per atom) = 0.84
- ΔE_f (eV per atom) = 0.028

```
data_TaNb6Cu
_symmetry_space_group_name_H-M 'P 1'
_symmetry_Int_Tables_number 1
_cell_length_a 3.375
_cell_length_b 6.474
_cell_length_c 6.474
_cell_angle_alpha 89.84
_cell_angle_beta 90.00
_cell_angle_gamma 90.00
loop_
_symmetry_equiv_pos_as_xyz
'x,y,z'
loop_
_atom_site_label
_atom_site_fract_x
_atom_site_fract_y
_atom_site_fract_z
Ta1 0.000 0.874 0.126
Nb1 0.500 0.624 0.874
Nb2 0.500 0.126 0.376
Nb3 0.500 0.124 0.876
Nb4 0.000 0.875 0.625
Nb5 0.000 0.375 0.125
Nb6 0.000 0.376 0.624
Cu1 0.500 0.627 0.373
```



Here is an optimized crystal structure of Ce2Sn3Hg3 from Alexandria via LeMat-Bulk. Energies are from PBE.

Summary:
- symmetry = No. 47
- DOS at the Fermi energy (states/eV per atom) = 1.49
- ΔE_f (eV per atom) = -0.445

```
data_Ce2Sn3Hg3
_symmetry_space_group_name_H-M 'P 1'
_symmetry_Int_Tables_number 1
_cell_length_a 4.825
_cell_length_b 4.703
_cell_length_c 9.115
_cell_angle_alpha 90.00
_cell_angle_beta 90.00
_cell_angle_gamma 90.00
loop_
_symmetry_equiv_pos_as_xyz
'x,y,z'
loop_
_atom_site_label
_atom_site_fract_x
_atom_site_fract_y
_atom_site_fract_z
Ce1 0.000 0.000 0.746
Ce2 0.000 0.000 0.254
Sn1 0.500 0.000 0.500
Sn2 0.000 0.500 0.000
Sn3 0.000 0.500 0.500
Hg1 0.500 0.500 0.751
Hg2 0.500 0.500 0.249
Hg3 0.500 0.000 0.000
```



Here is an optimized crystal structure of BRuSe2Br from Alexandria via LeMat-Bulk. Energies are from PBE.

Summary:
- energy relative to the elements, uncorrected (eV per atom) = 1.150
- symmetry = No. 123
- polymorph energy (0 for the lowest one) (meV per atom) = 0
- DOS at the Fermi energy (states/eV per atom) = 0.82

```
data_BRuSe2Br
_symmetry_space_group_name_H-M 'P 1'
_symmetry_Int_Tables_number 1
_cell_length_a 4.435
_cell_length_b 4.435
_cell_length_c 4.414
_cell_angle_alpha 90.00
_cell_angle_beta 90.00
_cell_angle_gamma 90.00
loop_
_symmetry_equiv_pos_as_xyz
'x,y,z'
loop_
_atom_site_label
_atom_site_fract_x
_atom_site_fract_y
_atom_site_fract_z
Ru1 0.500 0.500 0.500
B1 0.000 0.000 0.000
Se1 0.000 0.500 0.000
Se2 0.500 0.000 0.000
Br1 0.000 0.000 0.500
```



Here is an optimized crystal structure of Sc4Mo3 from Alexandria via LeMat-Bulk. Energies are from PBE.

Summary:
- symmetry = No. 139
- polymorph energy (0 for the lowest one) (meV per atom) = 0
- DOS at the Fermi energy (states/eV per atom) = 1.28
- ΔE_f (eV per atom) = 0.052

```
data_Sc4Mo3
_symmetry_space_group_name_H-M 'P 1'
_symmetry_Int_Tables_number 1
_cell_length_a 3.255
_cell_length_b 13.488
_cell_length_c 3.255
_cell_angle_alpha 83.07
_cell_angle_beta 90.00
_cell_angle_gamma 96.93
loop_
_symmetry_equiv_pos_as_xyz
'x,y,z'
loop_
_atom_site_label
_atom_site_fract_x
_atom_site_fract_y
_atom_site_fract_z
Mo1 0.000 0.000 0.000
Mo2 0.276 0.553 0.724
Mo3 0.724 0.447 0.276
Sc1 0.158 0.315 0.842
Sc2 0.439 0.877 0.561
Sc3 0.561 0.123 0.439
Sc4 0.842 0.685 0.158
```



Here is an optimized crystal structure of Li3YNp2Te6 from Alexandria via LeMat-Bulk. Energies are from PBE.

Summary:
- energy relative to the elements, uncorrected (eV per atom) = -0.954
- symmetry = No. 12
- DOS at the Fermi energy (states/eV per atom) = 1.79

```
data_Li3YNp2Te6
_symmetry_space_group_name_H-M 'P 1'
_symmetry_Int_Tables_number 1
_cell_length_a 7.573
_cell_length_b 7.573
_cell_length_c 7.488
_cell_angle_alpha 99.69
_cell_angle_beta 99.69
_cell_angle_gamma 120.00
loop_
_symmetry_equiv_pos_as_xyz
'x,y,z'
loop_
_atom_site_label
_atom_site_fract_x
_atom_site_fract_y
_atom_site_fract_z
Li1 0.166 0.834 0.500
Li2 0.834 0.166 0.500
Li3 0.500 0.500 0.500
Y1 0.000 0.000 0.000
Np1 0.333 0.667 0.000
Np2 0.667 0.333 0.000
Te1 0.914 0.583 0.742
Te2 0.755 0.755 0.258
Te3 0.086 0.417 0.258
Te4 0.583 0.914 0.742
Te5 0.245 0.245 0.742
Te6 0.417 0.086 0.258
```



Here is an optimized crystal structure of SrLi2ReO4 from Alexandria via LeMat-Bulk. Energies are from PBE.

Summary:
- energy relative to the elements, uncorrected (eV per atom) = -1.733
- symmetry = No. 121
- DOS at the Fermi energy (states/eV per atom) = 0.13

```
data_SrLi2ReO4
_symmetry_space_group_name_H-M 'P 1'
_symmetry_Int_Tables_number 1
_cell_length_a 5.255
_cell_length_b 5.255
_cell_length_c 5.255
_cell_angle_alpha 91.79
_cell_angle_beta 118.97
_cell_angle_gamma 118.97
loop_
_symmetry_equiv_pos_as_xyz
'x,y,z'
loop_
_atom_site_label
_atom_site_fract_x
_atom_site_fract_y
_atom_site_fract_z
Sr1 0.000 0.000 0.000
Li1 0.500 0.750 0.250
Li2 0.500 0.250 0.750
Re1 0.000 0.500 0.500
O1 0.000 0.132 0.500
O2 0.632 0.500 0.500
O3 0.368 0.868 0.868
O4 0.000 0.500 0.132
```



Here is an optimized crystal structure of InReTe from Alexandria via LeMat-Bulk. Energies are from PBE.

Summary:
- energy relative to the elements, uncorrected (eV per atom) = 0.729
- symmetry = No. 42
- polymorph energy (0 for the lowest one) (meV per atom) = 298
- DOS at the Fermi energy (states/eV per atom) = 0.78

```
data_InReTe
_symmetry_space_group_name_H-M 'P 1'
_symmetry_Int_Tables_number 1
_cell_length_a 8.470
_cell_length_b 8.209
_cell_length_c 3.078
_cell_angle_alpha 84.19
_cell_angle_beta 74.62
_cell_angle_gamma 21.19
loop_
_symmetry_equiv_pos_as_xyz
'x,y,z'
loop_
_atom_site_label
_atom_site_fract_x
_atom_site_fract_y
_atom_site_fract_z
In1 0.978 0.978 0.022
Re1 0.327 0.327 0.673
Te1 0.695 0.695 0.305
```



Here is an optimized crystal structure of Cs2SmDySe4 from Alexandria via LeMat-Bulk. Energies are from PBE.

Summary:
- energy relative to the elements, uncorrected (eV per atom) = -1.728
- symmetry = No. 10
- DOS at the Fermi energy (states/eV per atom) = 0.00

```
data_Cs2SmDySe4
_symmetry_space_group_name_H-M 'P 1'
_symmetry_Int_Tables_number 1
_cell_length_a 4.310
_cell_length_b 7.467
_cell_length_c 8.746
_cell_angle_alpha 106.50
_cell_angle_beta 90.00
_cell_angle_gamma 90.00
loop_
_symmetry_equiv_pos_as_xyz
'x,y,z'
loop_
_atom_site_label
_atom_site_fract_x
_atom_site_fract_y
_atom_site_fract_z
Cs1 0.500 0.000 0.500
Cs2 0.000 0.500 0.500
Sm1 0.000 0.000 0.000
Dy1 0.500 0.500 0.000
Se1 0.500 0.234 0.188
Se2 0.500 0.766 0.812
Se3 0.000 0.276 0.814
Se4 0.000 0.724 0.186
```



Here is an optimized crystal structure of Ce2HoEr from Alexandria via LeMat-Bulk. Energies are from PBE.

Summary:
- symmetry = No. 2
- polymorph energy (0 for the lowest one) (meV per atom) = 85
- DOS at the Fermi energy (states/eV per atom) = 2.18
- ΔE_f (eV per atom) = 0.170

```
data_Ce2HoEr
_symmetry_space_group_name_H-M 'P 1'
_symmetry_Int_Tables_number 1
_cell_length_a 9.233
_cell_length_b 6.446
_cell_length_c 6.540
_cell_angle_alpha 60.50
_cell_angle_beta 68.98
_cell_angle_gamma 43.62
loop_
_symmetry_equiv_pos_as_xyz
'x,y,z'
loop_
_atom_site_label
_atom_site_fract_x
_atom_site_fract_y
_atom_site_fract_z
Ce1 0.714 0.274 0.966
Ce2 0.286 0.726 0.034
Ce3 0.786 0.765 0.967
Ce4 0.214 0.235 0.033
Ho1 0.000 0.500 0.500
Ho2 0.500 0.000 0.500
Er1 0.250 0.714 0.574
Er2 0.750 0.286 0.426
```



Here is an optimized crystal structure of SrAc3Bi4 from Alexandria via LeMat-Bulk. Energies are from PBE.

Summary:
- symmetry = No. 221
- polymorph energy (0 for the lowest one) (meV per atom) = 2
- DOS at the Fermi energy (states/eV per atom) = 0.63
- ΔE_f (eV per atom) = -0.914

```
data_SrAc3Bi4
_symmetry_space_group_name_H-M 'P 1'
_symmetry_Int_Tables_number 1
_cell_length_a 6.889
_cell_length_b 6.889
_cell_length_c 6.889
_cell_angle_alpha 90.00
_cell_angle_beta 90.00
_cell_angle_gamma 90.00
loop_
_symmetry_equiv_pos_as_xyz
'x,y,z'
loop_
_atom_site_label
_atom_site_fract_x
_atom_site_fract_y
_atom_site_fract_z
Sr1 0.000 0.000 0.000
Ac1 0.000 0.500 0.500
Ac2 0.500 0.000 0.500
Ac3 0.500 0.500 0.000
Bi1 0.500 0.000 0.000
Bi2 0.000 0.500 0.000
Bi3 0.000 0.000 0.500
Bi4 0.500 0.500 0.500
```



Here is an optimized crystal structure of Ce6InIr2 from Alexandria via LeMat-Bulk. Energies are from PBE.

Summary:
- symmetry = No. 12
- DOS at the Fermi energy (states/eV per atom) = 2.23
- ΔE_f (eV per atom) = -0.470

```
data_Ce6InIr2
_symmetry_space_group_name_H-M 'P 1'
_symmetry_Int_Tables_number 1
_cell_length_a 4.659
_cell_length_b 5.812
_cell_length_c 9.031
_cell_angle_alpha 91.76
_cell_angle_beta 90.00
_cell_angle_gamma 113.63
loop_
_symmetry_equiv_pos_as_xyz
'x,y,z'
loop_
_atom_site_label
_atom_site_fract_x
_atom_site_fract_y
_atom_site_fract_z
Ce1 0.072 0.144 0.862
Ce2 0.596 0.192 0.179
Ce3 0.404 0.808 0.821
Ce4 0.709 0.419 0.594
Ce5 0.291 0.581 0.406
Ce6 0.928 0.856 0.138
In1 0.000 0.000 0.500
Ir1 0.742 0.485 0.887
Ir2 0.258 0.515 0.113
```